## RbW2F2 (GGA+U)

Data for crystalline RbW2F2 at its relaxed geometry.

Cell: 8.916 8.916 3.099 Å, 90.00 90.00 90.00°
Fractional coordinates of all 10 atoms:
1 Rb 0.000 0.000 0.000
2 Rb 0.500 0.500 0.000
3 W 0.099 0.401 0.500
4 W 0.401 0.901 0.500
5 W 0.599 0.099 0.500
6 W 0.901 0.599 0.500
7 F 0.226 0.274 0.000
8 F 0.274 0.774 0.000
9 F 0.726 0.226 0.000
10 F 0.774 0.726 0.000

Summary:
SG: No. 127
offset from the most stable computed form: 15.0 kJ per mole of atoms
total energy: -3.80 eV per atom